# 1
Below is an optimized crystal structure of Nd3YPt2, with properties calculated at the GGA-PBE level.

a b c (Å): 4.889 9.110 7.343
angles (deg): 90.00 90.00 90.00
Space group Pmc2_1 (No. 26)
Inequivalent atoms, fractional coordinates:
Nd  0.000  0.087  0.000 (multiplicity 2)
Nd  0.000  0.338  0.361 (multiplicity 2)
Nd  0.500  0.166  0.651 (multiplicity 2)
Y  0.500  0.415  0.012 (multiplicity 2)
Pt  0.000  0.345  0.769 (multiplicity 2)
Pt  0.500  0.164  0.245 (multiplicity 2)

## Properties
formation enthalpy at 0 K = -0.83 eV per atom
volume = 327.02 Å³ per cell
total moment = 0.0 Bohr magnetons per cell

# 2
Below is an optimized crystal structure of Nd2YPt, with properties calculated at the GGA-PBE level.

a b c (Å): 3.695 3.695 8.563
angles (deg): 90.00 90.00 90.00
Space group P4/mmm (No. 123)
Inequivalent atoms, fractional coordinates:
Nd  0.000  0.000  0.197 (multiplicity 2)
Y  0.500  0.500  0.500 (multiplicity 1)
Pt  0.500  0.500  0.000 (multiplicity 1)

## Properties
formation enthalpy at 0 K = -0.48 eV per atom
volume = 116.91 Å³ per cell
total moment = 0.0 Bohr magnetons per cell
E above lowest polymorph = 16.4 kJ/mol of atoms

# 3
Below is an optimized crystal structure of Nd2YPt, with properties calculated at the GGA-PBE level.

a b c (Å): 7.190 10.064 6.568
angles (deg): 90.00 90.00 90.00
Space group Pnma (No. 62)
Inequivalent atoms, fractional coordinates:
Nd  0.182  0.062  0.176 (multiplicity 8)
Y  0.031  0.250  0.644 (multiplicity 4)
Pt  0.115  0.750  0.948 (multiplicity 4)

## Properties
formation enthalpy at 0 K = -0.65 eV per atom
volume = 475.23 Å³ per cell
total moment = 0.0 Bohr magnetons per cell
E above lowest polymorph = 0.0 kJ/mol of atoms

# 4
Below is an optimized crystal structure of NdZnPt2, with properties calculated at the GGA-PBE level.

a b c (Å): 3.406 3.406 6.590
angles (deg): 90.00 90.00 90.00
Space group P4/mmm (No. 123)
Inequivalent atoms, fractional coordinates:
Nd  0.000  0.000  0.000 (multiplicity 1)
Zn  0.000  0.000  0.500 (multiplicity 1)
Pt  0.500  0.500  0.290 (multiplicity 2)

## Properties
formation enthalpy at 0 K = -0.73 eV per atom
volume = 76.44 Å³ per cell
total moment = 0.0 Bohr magnetons per cell

# 5
Below is an optimized crystal structure of Nd3Zn2Pt, with properties calculated at the GGA-PBE level.

a b c (Å): 5.1489 5.1489 6.4019
angles (deg): 90.00 90.00 120.00
Space group P-3m1 (No. 164)
Inequivalent atoms, fractional coordinates:
Nd  0.0000  0.0000  0.0000 (multiplicity 1)
Nd  0.3333  0.6667  0.6516 (multiplicity 2)
Zn  0.3333  0.6667  0.1400 (multiplicity 2)
Pt  0.0000  0.0000  0.5000 (multiplicity 1)

## Properties
formation enthalpy at 0 K = -0.56 eV per atom
volume = 146.98 Å³ per cell
total moment = 0.0 Bohr magnetons per cell

# 6
Below is an optimized crystal structure of Nd2ZnPt2, with properties calculated at the GGA-PBE level.

a b c (Å): 7.091 11.531 5.961
angles (deg): 90.00 90.00 90.00
Space group Ibam (No. 72)
Inequivalent atoms, fractional coordinates:
Nd  0.165  0.144  0.000 (multiplicity 8)
Zn  0.000  0.500  0.250 (multiplicity 4)
Pt  0.249  0.389  0.000 (multiplicity 8)

## Properties
formation enthalpy at 0 K = -0.89 eV per atom
volume = 487.44 Å³ per cell
total moment = 0.0 Bohr magnetons per cell

# 7
Below is an optimized crystal structure of Nd2Zn5Pt5, with properties calculated at the GGA-PBE level.

a b c (Å): 4.327 5.338 9.459
angles (deg): 90.00 90.00 90.00
Space group Pmmm (No. 47)
Inequivalent atoms, fractional coordinates:
Nd  0.000  0.000  0.000 (multiplicity 1)
Nd  0.000  0.500  0.500 (multiplicity 1)
Zn  0.500  0.000  0.500 (multiplicity 1)
Zn  0.500  0.251  0.250 (multiplicity 4)
Pt  0.000  0.000  0.333 (multiplicity 2)
Pt  0.000  0.500  0.178 (multiplicity 2)
Pt  0.500  0.500  0.000 (multiplicity 1)

## Properties
formation enthalpy at 0 K = -0.75 eV per atom
volume = 218.45 Å³ per cell
total moment = 0.0 Bohr magnetons per cell

# 8
Below is an optimized crystal structure of NdZn3Pt2, with properties calculated at the GGA-PBE level.

a b c (Å): 15.580 4.148 7.906
angles (deg): 90.00 117.26 90.00
Space group C2/m (No. 12)
Inequivalent atoms, fractional coordinates:
Nd  0.144  0.000  0.051 (multiplicity 4)
Zn  0.042  0.000  0.386 (multiplicity 4)
Zn  0.099  0.500  0.685 (multiplicity 4)
Zn  0.189  0.500  0.471 (multiplicity 4)
Pt  0.022  0.500  0.181 (multiplicity 4)
Pt  0.205  0.000  0.705 (multiplicity 4)

## Properties
formation enthalpy at 0 K = -0.65 eV per atom
volume = 454.20 Å³ per cell
total moment = 0.0 Bohr magnetons per cell

# 9
Below is an optimized crystal structure of NdZn9Pt2, with properties calculated at the GGA-PBE level.

a b c (Å): 10.648 10.648 6.938
angles (deg): 90.00 90.00 90.00
Space group I4_1/amd (No. 141, origin choice 2)
Inequivalent atoms, fractional coordinates:
Nd  0.000  0.250  0.375 (multiplicity 4)
Zn  0.000  0.250  0.875 (multiplicity 4)
Zn  0.122  0.043  0.678 (multiplicity 32)
Pt  0.000  0.000  0.000 (multiplicity 8)

## Properties
formation enthalpy at 0 K = -0.42 eV per atom
volume = 786.62 Å³ per cell
total moment = 0.0 Bohr magnetons per cell
E above lowest polymorph = 0.0 kJ/mol of atoms

# 10
Below is an optimized crystal structure of NdZn3Pt3, with properties calculated at the GGA-PBE level.

a b c (Å): 8.2178 8.2178 4.3301
angles (deg): 90.00 90.00 120.00
Space group P6_3/m (No. 176)
Inequivalent atoms, fractional coordinates:
Nd  0.3333  0.6667  0.2500 (multiplicity 2)
Zn  0.0082  0.2240  0.2500 (multiplicity 6)
Pt  0.0492  0.4123  0.7500 (multiplicity 6)

## Properties
formation enthalpy at 0 K = -0.59 eV per atom
volume = 253.25 Å³ per cell
total moment = 0.0 Bohr magnetons per cell
E above lowest polymorph = 0.0 kJ/mol of atoms

# 11
Below is an optimized crystal structure of NdZnPt2, with properties calculated at the GGA-PBE level.

a b c (Å): 7.460 7.146 5.814
angles (deg): 90.00 90.00 90.00
Space group Pnma (No. 62)
Inequivalent atoms, fractional coordinates:
Nd  0.030  0.250  0.146 (multiplicity 4)
Zn  0.116  0.750  0.349 (multiplicity 4)
Pt  0.182  0.051  0.582 (multiplicity 8)

## Properties
formation enthalpy at 0 K = -0.88 eV per atom
volume = 309.96 Å³ per cell
total moment = 0.0 Bohr magnetons per cell

# 12
Below is an optimized crystal structure of Nd3ZnPt8, with properties calculated at the GGA-PBE level.

a b c (Å): 5.4772 5.4772 26.7473
angles (deg): 90.00 90.00 120.00
Space group R3m (No. 160, hexagonal axes)
Inequivalent atoms, fractional coordinates:
Nd  0.0000  0.0000  0.0000 (multiplicity 3)
Nd  0.0000  0.0000  0.1296 (multiplicity 3)
Nd  0.0000  0.0000  0.6116 (multiplicity 3)
Zn  0.0000  0.0000  0.4823 (multiplicity 3)
Pt  0.0000  0.0000  0.3107 (multiplicity 3)
Pt  0.0000  0.0000  0.8113 (multiplicity 3)
Pt  0.0030  0.5015  0.5609 (multiplicity 9)
Pt  0.1669  0.3339  0.3938 (multiplicity 9)

## Properties
formation enthalpy at 0 K = -0.93 eV per atom
volume = 694.90 Å³ per cell
total moment = 0.0 Bohr magnetons per cell